Record 1
The following is a PBE+U calculation of a relaxed Ba2NdCoCu2O7 crystal, from the Alexandria database.

- V: 14.13 Å³/atom
- VASP energy: -80.5 eV per formula unit
- Symmetry: Pmmm
- M_tot: 2.3 μB/f.u.

```
data_Ba2NdCoCu2O7
_chemical_formula_sum 'Ba2 Nd1 Co1 Cu2 O7'
_symmetry_space_group_name_H-M 'P 1'
_symmetry_Int_Tables_number 1
_cell_length_a 3.907
_cell_length_b 3.952
_cell_length_c 11.902
_cell_angle_alpha 90.00
_cell_angle_beta 90.00
_cell_angle_gamma 90.00
loop_
_symmetry_equiv_pos_as_xyz
'x,y,z'
loop_
_atom_site_label
_atom_site_type_symbol
_atom_site_fract_x
_atom_site_fract_y
_atom_site_fract_z
Nd1 Nd 0.500 0.500 0.500
O1 O 0.000 0.000 0.151
Cu1 Cu 0.000 0.000 0.354
Ba1 Ba 0.500 0.500 0.182
Ba2 Ba 0.500 0.500 0.818
O2 O 0.000 0.500 0.629
O3 O 0.000 0.500 0.000
O4 O 0.000 0.000 0.849
Cu2 Cu 0.000 0.000 0.646
O5 O 0.500 0.000 0.628
Co1 Co 0.000 0.000 0.000
O6 O 0.000 0.500 0.371
O7 O 0.500 0.000 0.372
```

Record 2
The following is a PBE+U calculation of a relaxed Ba2PrCoCu2O7 crystal, from the Alexandria database.

- V: 14.21 Å³/atom
- VASP energy: -80.4 eV per formula unit
- Symmetry: Pmmm
- M_tot: 2.3 μB/f.u.

```
data_Ba2PrCoCu2O7
_chemical_formula_sum 'Ba2 Pr1 Co1 Cu2 O7'
_symmetry_space_group_name_H-M 'P 1'
_symmetry_Int_Tables_number 1
_cell_length_a 3.917
_cell_length_b 3.958
_cell_length_c 11.917
_cell_angle_alpha 90.00
_cell_angle_beta 90.00
_cell_angle_gamma 90.00
loop_
_symmetry_equiv_pos_as_xyz
'x,y,z'
loop_
_atom_site_label
_atom_site_type_symbol
_atom_site_fract_x
_atom_site_fract_y
_atom_site_fract_z
O1 O 0.000 0.000 0.849
Ba1 Ba 0.500 0.500 0.181
O2 O 0.000 0.000 0.151
O3 O 0.000 0.500 0.370
Cu1 Cu 0.000 0.000 0.353
Pr1 Pr 0.500 0.500 0.500
Co1 Co 0.000 0.000 0.000
O4 O 0.500 0.000 0.630
O5 O 0.500 0.000 0.370
O6 O 0.000 0.500 0.630
O7 O 0.000 0.500 0.000
Ba2 Ba 0.500 0.500 0.819
Cu2 Cu 0.000 0.000 0.647
```

Record 3
The following is a PBE+U calculation of a relaxed BaSrCoCu2S2O2 crystal, from the Alexandria database.

- V: 16.73 Å³/atom
- VASP energy: -46.7 eV per formula unit
- Symmetry: I4mm
- M_tot: 2.7 μB/f.u.

```
data_BaSrCoCu2S2O2
_chemical_formula_sum 'Ba1 Sr1 Co1 Cu2 S2 O2'
_symmetry_space_group_name_H-M 'P 1'
_symmetry_Int_Tables_number 1
_cell_length_a 10.037
_cell_length_b 10.037
_cell_length_c 10.037
_cell_angle_alpha 157.30
_cell_angle_beta 157.30
_cell_angle_gamma 32.33
loop_
_symmetry_equiv_pos_as_xyz
'x,y,z'
loop_
_atom_site_label
_atom_site_type_symbol
_atom_site_fract_x
_atom_site_fract_y
_atom_site_fract_z
Ba1 Ba 0.404 0.404 0.000
O1 O 0.507 0.007 0.500
S1 S 0.817 0.817 0.000
Co1 Co 0.006 0.006 0.000
O2 O 0.007 0.507 0.500
Sr1 Sr 0.595 0.595 0.000
Cu1 Cu 0.246 0.746 0.500
Cu2 Cu 0.746 0.246 0.500
S2 S 0.173 0.173 0.000
```

Record 4
The following is a PBE+U calculation of a relaxed BaSr3Co2Cu4S4O4 crystal, from the Alexandria database.

- V: 16.46 Å³/atom
- VASP energy: -94.2 eV per formula unit
- Symmetry: P4mm
- M_tot: 6.0 μB/f.u.

```
data_BaSr3Co2Cu4S4O4
_chemical_formula_sum 'Ba1 Sr3 Co2 Cu4 S4 O4'
_symmetry_space_group_name_H-M 'P 1'
_symmetry_Int_Tables_number 1
_cell_length_a 4.030
_cell_length_b 4.030
_cell_length_c 18.244
_cell_angle_alpha 90.00
_cell_angle_beta 90.00
_cell_angle_gamma 90.00
loop_
_symmetry_equiv_pos_as_xyz
'x,y,z'
loop_
_atom_site_label
_atom_site_type_symbol
_atom_site_fract_x
_atom_site_fract_y
_atom_site_fract_z
Ba1 Ba 0.500 0.500 0.092
Cu1 Cu 0.000 0.500 0.750
O1 O 0.000 0.500 0.504
Sr1 Sr 0.500 0.500 0.902
S1 S 0.500 0.500 0.332
Co1 Co 0.000 0.000 0.980
S2 S 0.000 0.000 0.184
O2 O 0.000 0.500 0.990
S3 S 0.500 0.500 0.678
Cu2 Cu 0.000 0.500 0.256
Sr2 Sr 0.000 0.000 0.411
O3 O 0.500 0.000 0.504
Sr3 Sr 0.000 0.000 0.594
Cu3 Cu 0.500 0.000 0.256
Co2 Co 0.500 0.500 0.502
Cu4 Cu 0.500 0.000 0.750
O4 O 0.500 0.000 0.990
S4 S 0.000 0.000 0.827
```

Record 5
The following is a PBE+U calculation of a relaxed BaSmCoCuO6 crystal, from the Alexandria database.

- V: 11.88 Å³/atom
- VASP energy: -63.0 eV per formula unit
- Symmetry: P4mm
- M_tot: 3.0 μB/f.u.

```
data_BaSmCoCuO6
_chemical_formula_sum 'Ba1 Sm1 Co1 Cu1 O6'
_symmetry_space_group_name_H-M 'P 1'
_symmetry_Int_Tables_number 1
_cell_length_a 3.935
_cell_length_b 3.935
_cell_length_c 7.673
_cell_angle_alpha 90.00
_cell_angle_beta 90.00
_cell_angle_gamma 90.00
loop_
_symmetry_equiv_pos_as_xyz
'x,y,z'
loop_
_atom_site_label
_atom_site_type_symbol
_atom_site_fract_x
_atom_site_fract_y
_atom_site_fract_z
O1 O 0.000 0.500 0.222
O2 O 0.500 0.000 0.782
Ba1 Ba 0.500 0.500 0.502
O3 O 0.000 0.000 0.487
O4 O 0.000 0.500 0.782
Cu1 Cu 0.000 0.000 0.753
Co1 Co 0.000 0.000 0.246
Sm1 Sm 0.500 0.500 0.001
O5 O 0.000 0.000 0.005
O6 O 0.500 0.000 0.222
```

Record 6
The following is a PBE+U calculation of a relaxed Ba2SmCoCu2O7 crystal, from the Alexandria database.

- V: 14.00 Å³/atom
- VASP energy: -80.7 eV per formula unit
- Symmetry: Pmmm
- M_tot: 2.3 μB/f.u.

```
data_Ba2SmCoCu2O7
_chemical_formula_sum 'Ba2 Sm1 Co1 Cu2 O7'
_symmetry_space_group_name_H-M 'P 1'
_symmetry_Int_Tables_number 1
_cell_length_a 3.889
_cell_length_b 3.941
_cell_length_c 11.879
_cell_angle_alpha 90.00
_cell_angle_beta 90.00
_cell_angle_gamma 90.00
loop_
_symmetry_equiv_pos_as_xyz
'x,y,z'
loop_
_atom_site_label
_atom_site_type_symbol
_atom_site_fract_x
_atom_site_fract_y
_atom_site_fract_z
Sm1 Sm 0.500 0.500 0.500
O1 O 0.000 0.500 0.000
Cu1 Cu 0.000 0.000 0.357
O2 O 0.000 0.000 0.849
Cu2 Cu 0.000 0.000 0.643
O3 O 0.000 0.500 0.626
O4 O 0.000 0.500 0.374
Co1 Co 0.000 0.000 0.000
O5 O 0.000 0.000 0.151
O6 O 0.500 0.000 0.375
Ba1 Ba 0.500 0.500 0.182
O7 O 0.500 0.000 0.625
Ba2 Ba 0.500 0.500 0.818
```

Record 7
The following is a PBE+U calculation of a relaxed Ba3SrCoCu3O12 crystal, from the Alexandria database.

- V: 12.59 Å³/atom
- VASP energy: -110.9 eV per formula unit
- Symmetry: Amm2
- M_tot: 5.8 μB/f.u.

```
data_Ba3SrCoCu3O12
_chemical_formula_sum 'Ba3 Sr1 Co1 Cu3 O12'
_symmetry_space_group_name_H-M 'P 1'
_symmetry_Int_Tables_number 1
_cell_length_a 7.960
_cell_length_b 7.960
_cell_length_c 3.974
_cell_angle_alpha 90.00
_cell_angle_beta 90.00
_cell_angle_gamma 90.10
loop_
_symmetry_equiv_pos_as_xyz
'x,y,z'
loop_
_atom_site_label
_atom_site_type_symbol
_atom_site_fract_x
_atom_site_fract_y
_atom_site_fract_z
O1 O 0.510 0.992 0.500
Co1 Co 0.504 0.504 0.000
O2 O 0.505 0.505 0.500
O3 O 0.507 0.741 0.000
O4 O 0.991 0.991 0.500
Sr1 Sr 0.754 0.754 0.500
O5 O 0.741 0.507 0.000
O6 O 0.748 0.987 0.000
O7 O 0.502 0.261 0.000
O8 O 0.992 0.510 0.500
Cu1 Cu 0.500 0.000 0.000
Ba1 Ba 0.752 0.247 0.500
O9 O 0.261 0.502 0.000
O10 O 0.252 0.999 0.000
Cu2 Cu 0.000 0.000 0.000
Ba2 Ba 0.247 0.752 0.500
O11 O 0.987 0.748 0.000
O12 O 0.999 0.252 0.000
Cu3 Cu 0.000 0.500 0.000
Ba3 Ba 0.248 0.248 0.500
```

Record 8
The following is a PBE+U calculation of a relaxed Ba4Sr4CoCu7O24 crystal, from the Alexandria database.

- V: 12.33 Å³/atom
- VASP energy: -219.6 eV per formula unit
- Symmetry: Cm
- M_tot: 9.2 μB/f.u.

```
data_Ba4Sr4CoCu7O24
_chemical_formula_sum 'Ba4 Sr4 Co1 Cu7 O24'
_symmetry_space_group_name_H-M 'P 1'
_symmetry_Int_Tables_number 1
_cell_length_a 7.898
_cell_length_b 7.898
_cell_length_c 7.907
_cell_angle_alpha 90.05
_cell_angle_beta 90.05
_cell_angle_gamma 89.99
loop_
_symmetry_equiv_pos_as_xyz
'x,y,z'
loop_
_atom_site_label
_atom_site_type_symbol
_atom_site_fract_x
_atom_site_fract_y
_atom_site_fract_z
O1 O 0.751 0.497 0.505
Sr1 Sr 0.747 0.252 0.752
O2 O 0.001 0.755 0.503
Cu1 Cu 0.000 0.000 0.001
O3 O 0.997 0.997 0.254
O4 O 0.755 0.001 0.503
O5 O 0.001 0.750 0.997
Cu2 Cu 0.501 0.000 0.500
O6 O 0.005 0.494 0.749
O7 O 0.499 0.249 0.513
Cu3 Cu 0.000 0.500 0.000
O8 O 0.245 0.001 0.507
O9 O 0.002 0.002 0.747
Ba1 Ba 0.749 0.749 0.751
O10 O 0.506 0.506 0.250
O11 O 0.494 0.005 0.749
O12 O 0.250 0.499 0.987
O13 O 0.001 0.245 0.507
Sr2 Sr 0.252 0.252 0.751
O14 O 0.750 0.001 0.997
O15 O 0.994 0.507 0.251
O16 O 0.499 0.250 0.987
Sr3 Sr 0.749 0.749 0.248
O17 O 0.495 0.495 0.750
O18 O 0.249 0.000 0.987
Cu4 Cu 0.000 0.501 0.500
Co1 Co 0.001 0.001 0.505
O19 O 0.249 0.499 0.513
O20 O 0.750 0.498 0.995
O21 O 0.497 0.751 0.505
Cu5 Cu 0.500 0.500 0.000
Sr4 Sr 0.252 0.747 0.752
O22 O 0.498 0.750 0.995
Ba2 Ba 0.749 0.251 0.249
Ba3 Ba 0.251 0.749 0.249
Ba4 Ba 0.251 0.251 0.248
Cu6 Cu 0.500 0.500 0.500
O23 O 0.507 0.994 0.251
O24 O 0.000 0.249 0.987
Cu7 Cu 0.500 0.000 0.000
```

Record 9
The following is a PBE+U calculation of a relaxed BaSr3Co2Cu2O12 crystal, from the Alexandria database.

- V: 12.00 Å³/atom
- VASP energy: -113.6 eV per formula unit
- Symmetry: Cmm2
- M_tot: 4.4 μB/f.u.

```
data_BaSr3Co2Cu2O12
_chemical_formula_sum 'Ba2 Sr6 Co4 Cu4 O24'
_symmetry_space_group_name_H-M 'P 1'
_symmetry_Int_Tables_number 1
_cell_length_a 7.795
_cell_length_b 7.795
_cell_length_c 7.898
_cell_angle_alpha 90.00
_cell_angle_beta 90.00
_cell_angle_gamma 89.97
loop_
_symmetry_equiv_pos_as_xyz
'x,y,z'
loop_
_atom_site_label
_atom_site_type_symbol
_atom_site_fract_x
_atom_site_fract_y
_atom_site_fract_z
O1 O 0.740 0.498 0.495
O2 O 0.256 0.501 0.007
O3 O 0.739 0.004 0.494
Sr1 Sr 0.750 0.250 0.246
Co1 Co 0.500 0.000 0.496
O4 O 0.250 0.995 0.009
Cu1 Cu 0.000 0.000 0.498
O5 O 0.000 0.000 0.254
Co2 Co 0.500 0.500 0.000
Cu2 Cu 0.000 0.000 0.999
O6 O 0.004 0.739 0.494
O7 O 0.498 0.740 0.495
Co3 Co 0.500 0.500 0.496
Cu3 Cu 0.500 0.000 0.999
O8 O 0.261 0.996 0.494
Cu4 Cu 0.000 0.500 0.999
O9 O 0.744 0.499 0.007
O10 O 0.260 0.502 0.495
Co4 Co 0.000 0.500 0.496
O11 O 0.000 0.000 0.746
O12 O 0.499 0.744 0.007
O13 O 0.500 0.000 0.751
O14 O 0.500 0.000 0.247
Sr2 Sr 0.750 0.250 0.756
O15 O 0.750 0.005 0.009
O16 O 0.000 0.500 0.247
Sr3 Sr 0.249 0.249 0.244
O17 O 0.502 0.260 0.495
O18 O 0.995 0.250 0.009
Ba1 Ba 0.249 0.249 0.753
O19 O 0.500 0.500 0.756
O20 O 0.500 0.500 0.246
O21 O 0.005 0.750 0.009
O22 O 0.501 0.256 0.007
O23 O 0.996 0.261 0.494
Sr4 Sr 0.751 0.751 0.244
Sr5 Sr 0.250 0.750 0.246
Ba2 Ba 0.751 0.751 0.753
Sr6 Sr 0.250 0.750 0.756
O24 O 0.000 0.500 0.751
```

Record 10
The following is a PBE+U calculation of a relaxed Ba6Y3Co3Cu6O22 crystal, from the Alexandria database.

- V: 13.53 Å³/atom
- VASP energy: -253.7 eV per formula unit
- Symmetry: P2/m
- M_tot: 8.4 μB/f.u.

```
data_Ba6Y3Co3Cu6O22
_chemical_formula_sum 'Ba6 Y3 Co3 Cu6 O22'
_symmetry_space_group_name_H-M 'P 1'
_symmetry_Int_Tables_number 1
_cell_length_a 3.892
_cell_length_b 11.780
_cell_length_c 12.442
_cell_angle_alpha 71.62
_cell_angle_beta 90.00
_cell_angle_gamma 90.00
loop_
_symmetry_equiv_pos_as_xyz
'x,y,z'
loop_
_atom_site_label
_atom_site_type_symbol
_atom_site_fract_x
_atom_site_fract_y
_atom_site_fract_z
Co1 Co 0.000 0.681 0.000
O1 O 0.500 0.346 0.000
Cu1 Cu 0.000 0.882 0.353
O2 O 0.000 0.708 0.847
O3 O 0.000 0.948 0.158
O4 O 0.500 0.459 0.621
O5 O 0.500 0.126 0.621
O6 O 0.000 0.042 0.378
Ba1 Ba 0.500 0.110 0.181
O7 O 0.500 0.654 0.000
O8 O 0.500 0.207 0.379
Y1 Y 0.500 0.000 0.500
Ba2 Ba 0.500 0.561 0.817
O9 O 0.500 0.793 0.621
Co2 Co 0.000 0.319 0.000
O10 O 0.000 0.293 0.625
Y2 Y 0.500 0.332 0.502
Cu2 Cu 0.000 0.118 0.647
Ba3 Ba 0.500 0.439 0.183
O11 O 0.500 0.541 0.379
O12 O 0.000 0.155 0.000
O13 O 0.000 0.606 0.152
Ba4 Ba 0.500 0.890 0.819
O14 O 0.500 0.874 0.379
Ba5 Ba 0.500 0.231 0.820
Co3 Co 0.000 0.000 0.000
O15 O 0.000 0.958 0.622
Ba6 Ba 0.500 0.769 0.180
O16 O 0.000 0.707 0.375
O17 O 0.000 0.845 0.000
Y3 Y 0.500 0.668 0.498
O18 O 0.000 0.627 0.619
O19 O 0.000 0.052 0.842
Cu3 Cu 0.000 0.454 0.640
Cu4 Cu 0.000 0.546 0.360
Cu5 Cu 0.000 0.214 0.360
Cu6 Cu 0.000 0.786 0.640
O20 O 0.000 0.292 0.153
O21 O 0.000 0.394 0.848
O22 O 0.000 0.373 0.381
```